[1]
Below is BaLaGa after structural relaxation, with properties calculated at the PBE level.

Cell lengths 7.930, 7.930, 7.930 Å; angles 144.87, 125.46, 66.55 degrees
Sites, in units of the cell vectors:
Ba 0.205 0.205 0.000
Ba 0.795 0.795 0.000
La 0.287 0.500 0.787
La 0.713 0.500 0.213
Ga 0.394 0.894 0.500
Ga 0.606 0.106 0.500

**M_tot**: 0.7 μB/f.u.
**Energy above the most stable polymorph in this dataset**: 72.0 meV per atom
**Space group**: Immm (71)
**ΔH_f (0 K)**: -0.269 eV per atom

[2]
Below is BaLa2Ga after structural relaxation, with properties calculated at the PBE level.

Cell lengths 11.648, 11.648, 11.648 Å; angles 19.53, 19.53, 19.53 degrees
Sites, in units of the cell vectors:
Ba 0.000 0.000 0.000
La 0.229 0.229 0.229
La 0.771 0.771 0.771
Ga 0.500 0.500 0.500

**M_tot**: 0.0 μB/f.u.
**Space group**: R-3m (166)
**ΔH_f (0 K)**: -0.095 eV per atom

Number 2 is which compound?
BaLa2Ga

The lowest ΔH_f (0 K) belongs to which entry?
BaLaGa

Number 1 is which compound?
BaLaGa